No. 1
# Tm2Th2Sc5 | Alexandria via LeMat-Bulk | PBE | relaxed
# formation energy	0.316	eV/atom
# energy above the lowest structure with this stoichiometry	0.2179	eV per atom
# crystal system	orthorhombic
data_Tm2Th2Sc5
_chemical_formula_sum 'Tm8 Th8 Sc20'
_cell_length_a 13.4430
_cell_length_b 8.9767
_cell_length_c 8.5403
_cell_angle_alpha 90.00
_cell_angle_beta 90.00
_cell_angle_gamma 90.00
_space_group_name_H-M_alt 'I m a 2'
_space_group_IT_number 46
loop_
_space_group_symop_operation_xyz
'x,y,z'
'-x,-y,z'
'-x+1/2,y,z'
'x+1/2,-y,z'
'x+1/2,y+1/2,z+1/2'
'-x+1/2,-y+1/2,z+1/2'
'-x,y+1/2,z+1/2'
'x,-y+1/2,z+1/2'
loop_
_atom_site_label
_atom_site_type_symbol
_atom_site_fract_x
_atom_site_fract_y
_atom_site_fract_z
Tm1 Tm 0.1220 0.0740 0.0000
Th1 Th 0.0000 0.0000 0.3256
Th2 Th 0.2500 0.0023 0.6758
Sc1 Sc 0.0237 0.1654 0.6767
Sc2 Sc 0.1427 0.7343 0.9244
Sc3 Sc 0.2500 0.1480 0.3305

=====

No. 2
# PmMgGeIr | Alexandria via LeMat-Bulk | PBE | relaxed
# formation energy	-0.397	eV/atom
# crystal system	cubic
data_PmMgGeIr
_chemical_formula_sum 'Pm4 Mg4 Ge4 Ir4'
_cell_length_a 6.8475
_cell_length_b 6.8475
_cell_length_c 6.8475
_cell_angle_alpha 90.00
_cell_angle_beta 90.00
_cell_angle_gamma 90.00
_space_group_name_H-M_alt 'F -4 3 m'
_space_group_IT_number 216
_space_group_name_Hall 'F -4 2 3'
loop_
_atom_site_label
_atom_site_type_symbol
_atom_site_fract_x
_atom_site_fract_y
_atom_site_fract_z
Pm1 Pm 0.0000 0.0000 0.0000
Mg1 Mg 0.0000 0.0000 0.5000
Ge1 Ge 0.2500 0.2500 0.2500
Ir1 Ir 0.2500 0.2500 0.7500

=====

No. 3
# RbInPbAu | Alexandria via LeMat-Bulk | PBE | relaxed
# formation energy	-0.186	eV/atom
# crystal system	trigonal
data_RbInPbAu
_chemical_formula_sum 'Rb3 In3 Pb3 Au3'
_cell_length_a 4.6985
_cell_length_b 4.6985
_cell_length_c 21.9646
_cell_angle_alpha 90.00
_cell_angle_beta 90.00
_cell_angle_gamma 120.00
_space_group_name_H-M_alt 'R 3 m'
_space_group_IT_number 160
_space_group_name_Hall 'R 3 -2"'
loop_
_atom_site_label
_atom_site_type_symbol
_atom_site_fract_x
_atom_site_fract_y
_atom_site_fract_z
Rb1 Rb 0.0000 0.0000 0.0000
In1 In 0.0000 0.0000 0.2167
Pb1 Pb 0.0000 0.0000 0.7899
Au1 Au 0.0000 0.0000 0.5096

=====

No. 4
# Dy2InO | Alexandria via LeMat-Bulk | PBE | relaxed
# energy above the lowest structure with this stoichiometry	0.5073	eV per atom
# E_form (uncorrected)	-1.131	eV/atom
# crystal system	tetragonal
data_Dy2InO
_chemical_formula_sum 'Dy2 In1 O1'
_cell_length_a 3.1064
_cell_length_b 3.1064
_cell_length_c 7.9441
_cell_angle_alpha 90.00
_cell_angle_beta 90.00
_cell_angle_gamma 90.00
_space_group_name_H-M_alt 'P 4/m m m'
_space_group_IT_number 123
_space_group_name_Hall '-P 4 2'
loop_
_atom_site_label
_atom_site_type_symbol
_atom_site_fract_x
_atom_site_fract_y
_atom_site_fract_z
Dy1 Dy 0.0000 0.0000 0.1951
In1 In 0.5000 0.5000 0.5000
O1 O 0.5000 0.5000 0.0000

=====

No. 5
# DyLuMnPd | Alexandria via LeMat-Bulk | PBE | relaxed
# formation energy	-0.300	eV/atom
# crystal system	cubic
data_DyLuMnPd
_chemical_formula_sum 'Dy4 Lu4 Mn4 Pd4'
_cell_length_a 6.9680
_cell_length_b 6.9680
_cell_length_c 6.9680
_cell_angle_alpha 90.00
_cell_angle_beta 90.00
_cell_angle_gamma 90.00
_space_group_name_H-M_alt 'F -4 3 m'
_space_group_IT_number 216
_space_group_name_Hall 'F -4 2 3'
loop_
_atom_site_label
_atom_site_type_symbol
_atom_site_fract_x
_atom_site_fract_y
_atom_site_fract_z
Dy1 Dy 0.0000 0.0000 0.0000
Lu1 Lu 0.0000 0.0000 0.5000
Mn1 Mn 0.2500 0.2500 0.7500
Pd1 Pd 0.2500 0.2500 0.2500

=====

No. 6
# ScTlBi | Alexandria via LeMat-Bulk | PBE | relaxed
# formation energy	-0.060	eV/atom
# energy above the lowest structure with this stoichiometry	0.0000	eV per atom
# crystal system	trigonal
data_ScTlBi
_chemical_formula_sum 'Sc1 Tl1 Bi1'
_cell_length_a 5.3296
_cell_length_b 5.3296
_cell_length_c 3.3568
_cell_angle_alpha 90.00
_cell_angle_beta 90.00
_cell_angle_gamma 120.00
_space_group_name_H-M_alt 'P 3 m 1'
_space_group_IT_number 156
loop_
_space_group_symop_operation_xyz
'x,y,z'
'-y,x-y,z'
'-x+y,-x,z'
'-y,-x,z'
'-x+y,y,z'
'x,x-y,z'
loop_
_atom_site_label
_atom_site_type_symbol
_atom_site_fract_x
_atom_site_fract_y
_atom_site_fract_z
Sc1 Sc 0.0000 0.0000 0.0000
Tl1 Tl 0.6667 0.3333 0.3071
Bi1 Bi 0.3333 0.6667 0.6145